(1)
Crystalline LaY2OsPb at its relaxed geometry, computed with PBE.

a = 5.414 Å, b = 5.414 Å, c = 5.467 Å
α = 90.00°, β = 90.00°, γ = 90.00°
Positions (direct):
Os1 0.000 0.000 0.000
Y1 0.000 0.500 0.000
Y2 0.500 0.000 0.000
La1 0.000 0.000 0.500
Pb1 0.500 0.500 0.500

Computed properties:
The calculation puts the total energy at -6.755 eV/atom. As for the energy above the most stable polymorph in this dataset: 0.000 eV/atom. Its space group is P4/mmm, No. 123. For the size of the total moment, the calculation gives 0.0 Bohr magnetons per cell.

***

(2)
Crystalline Nd2DyThSc4 at its relaxed geometry, computed with PBE.

a = 5.030 Å, b = 5.041 Å, c = 10.361 Å
α = 60.89°, β = 90.00°, γ = 90.00°
Positions (direct):
Sc1 0.500 0.253 0.747
Sc2 0.000 0.753 0.747
Sc3 0.000 0.247 0.253
Sc4 0.500 0.747 0.253
Dy1 0.500 0.500 0.000
Nd1 0.500 0.000 0.500
Nd2 0.000 0.000 0.000
Th1 0.000 0.500 0.500

Computed properties:
The calculation puts the total energy at -5.811 eV/atom. Its space group is Pmmm, No. 47. For the size of the total moment, the calculation gives 0.0 Bohr magnetons per cell.

***

(3)
Crystalline Na2BH4N at its relaxed geometry, computed with PBE.

a = 4.902 Å, b = 4.902 Å, c = 4.238 Å
α = 90.00°, β = 90.00°, γ = 90.00°
Last column: magnetic moment on the atom in μB.
Positions (direct):
H1 0.853 0.853 0.163  0.00
H2 0.853 0.147 0.837  0.00
H3 0.147 0.853 0.837  0.00
H4 0.147 0.147 0.163  0.00
B1 0.000 0.000 0.000  0.02
Na1 0.500 0.000 0.500  0.00
Na2 0.000 0.500 0.500  0.00
N1 0.500 0.500 0.500  1.21

Computed properties:
The calculation puts the total energy at -3.723 eV/atom. Its space group is P-42m, No. 111. For the size of the total moment, the calculation gives 2.0 Bohr magnetons per cell.